Record 1
Density functional theory data (PBE) for a relaxed AlHg2Ir crystal.

```
AlHg2Ir
1.0
0.000 3.305 3.305
3.305 0.000 3.305
3.305 3.305 0.000
Al Hg Ir
1 2 1
direct
0.000 0.000 0.000 Al
0.250 0.250 0.250 Hg
0.500 0.500 0.500 Hg
0.750 0.750 0.750 Ir
```

Total magnetic moment: 0.0 Bohr magnetons per cell
E: -11.94 eV for the cell shown

---

Record 2
Density functional theory data (PBE) for a relaxed AlHgIr2 crystal.

```
AlHgIr2
1.0
-1.481 2.265 4.816
1.481 -2.265 4.816
1.481 2.265 -4.816
Al Hg Ir
1 1 2
direct
0.000 0.000 0.000 Al
0.259 0.759 0.500 Hg
0.535 0.535 0.000 Ir
0.787 0.287 0.500 Ir
```

Total magnetic moment: 0.0 Bohr magnetons per cell
Excess energy over the best structure of this formula in the dataset: 302.4 meV per atom

---

Record 3
Density functional theory data (PBE) for a relaxed AlHgIr2 crystal.

```
AlHgIr2
1.0
-2.035 2.035 8.921
2.035 -2.035 8.921
2.035 2.035 -8.921
Al Hg Ir
2 2 4
direct
0.000 0.000 0.000 Al
0.750 0.250 0.500 Al
0.250 0.750 0.500 Hg
0.500 0.500 0.000 Hg
0.057 0.625 0.932 Ir
0.375 0.307 0.432 Ir
0.693 0.125 0.068 Ir
0.875 0.943 0.568 Ir
```

Total magnetic moment: 0.0 Bohr magnetons per cell
Excess energy over the best structure of this formula in the dataset: 568.4 meV per atom

---

Record 4
Density functional theory data (PBE) for a relaxed LaAlHgIr2 crystal.

```
LaAlHgIr2
1.0
5.033 0.000 0.000
0.000 5.033 0.000
0.000 0.000 5.467
La Al Hg Ir
1 1 1 2
direct
0.000 0.000 0.000 La
0.500 0.500 0.000 Al
0.000 0.000 0.500 Hg
0.000 0.500 0.500 Ir
0.500 0.000 0.500 Ir
```

Total magnetic moment: 0.0 Bohr magnetons per cell
E: -20.22 eV for the cell shown

---

Record 5
Density functional theory data (PBE) for a relaxed La2AlHgIr crystal.

```
La2AlHgIr
1.0
5.589 0.000 0.000
0.000 5.589 0.000
0.000 0.000 4.794
La Al Hg Ir
2 1 1 1
direct
0.000 0.500 0.000 La
0.500 0.000 0.000 La
0.000 0.000 0.500 Al
0.500 0.500 0.500 Hg
0.000 0.000 0.000 Ir
```

Total magnetic moment: 0.0 Bohr magnetons per cell
E: -25.35 eV for the cell shown

---

Record 6
Density functional theory data (PBE) for a relaxed LiAlHgIr2 crystal.

```
LiAlHgIr2
1.0
5.061 0.000 0.000
0.000 5.061 0.000
0.000 0.000 4.747
Li Al Hg Ir
1 1 1 2
direct
0.000 0.000 0.000 Li
0.500 0.500 0.000 Al
0.500 0.500 0.500 Hg
0.000 0.500 0.500 Ir
0.500 0.000 0.500 Ir
```

Total magnetic moment: 0.0 Bohr magnetons per cell
E: -16.20 eV for the cell shown

---

Question: Number 6 is which compound?
Answer: LiAlHgIr2